Entry 1:
Density functional theory data (PBE) for Er3Si4Ni2 after structural relaxation.

For the energy relative to the elements, uncorrected, the calculation gives -0.81 eV/atom. The calculation puts the energy relative to the lowest polymorph listed for this composition at 0.172 eV per formula unit. The crystal system is monoclinic.

The space group is C2/m (No. 12) and the conventional cell measures 10.235, 4.056 and 7.863 Å, with angles of 90.00, 105.99 and 90.00 degrees. Symmetry generates all atoms from Er at (0.000, 0.000, 0.000), Er at (0.124, 0.500, 0.694), Si at (0.094, 0.000, 0.410), Si at (0.216, 0.500, 0.073) and Ni at (0.185, 0.500, 0.356).

---

Entry 2:
Density functional theory data (PBE) for AsSe2Br after structural relaxation.

For the energy relative to the elements, uncorrected, the calculation gives 0.08 eV/atom. The calculation puts the energy relative to the lowest polymorph listed for this composition at 0.937 eV per formula unit. The crystal system is orthorhombic.

The space group is Imm2 (No. 44) and the conventional cell measures 3.739, 4.746 and 13.367 Å, with angles of 90.00, 90.00 and 90.00 degrees. Symmetry generates all atoms from As at (0.000, 0.000, 0.000), Se at (0.000, 0.000, 0.438), Se at (0.000, 0.500, 0.360) and Br at (0.000, 0.500, 0.651).

---

Entry 3:
Density functional theory data (PBE) for CsTl2Os after structural relaxation.

The formation energy comes out at 4.89 eV/f.u. The calculation puts the energy relative to the lowest polymorph listed for this composition at 2.182 eV per formula unit. The crystal system is cubic.

The space group is Fm-3m (No. 225) and the conventional cell measures 7.724, 7.724 and 7.724 Å, with angles of 90.00, 90.00 and 90.00 degrees. Symmetry generates all atoms from Cs at (0.000, 0.000, 0.000), Tl at (0.250, 0.250, 0.250) and Os at (0.000, 0.000, 0.500).

---

Entry 4:
Density functional theory data (PBE) for Tb4PrSmS8 after structural relaxation.

For the energy relative to the elements, uncorrected, the calculation gives -1.93 eV/atom. The crystal system is trigonal.

The space group is R3m (No. 160, hexagonal axes) and the conventional cell measures 8.1500, 8.1500 and 20.0783 Å, with angles of 90.00, 90.00 and 120.00 degrees. Symmetry generates all atoms from Tb at (0.0000, 0.0000, 0.0000), Tb at (0.0021, 0.5010, 0.8748), Pr at (0.0000, 0.0000, 0.7487), Sm at (0.0000, 0.0000, 0.3738), S at (0.0000, 0.0000, 0.1320), S at (0.0000, 0.0000, 0.6126), S at (0.0266, 0.5133, 0.1299) and S at (0.1743, 0.3485, 0.9539).

---

Entry 5:
Density functional theory data (PBE) for Ho2HgGe2Rh5 after structural relaxation.

The formation energy comes out at -7.39 eV/f.u. The crystal system is tetragonal.

The space group is P4/mbm (No. 127) and the conventional cell measures 9.778, 9.778 and 3.633 Å, with angles of 90.00, 90.00 and 90.00 degrees. Symmetry generates all atoms from Ho at (0.174, 0.326, 0.000), Hg at (0.000, 0.000, 0.000), Ge at (0.124, 0.624, 0.000), Rh at (0.000, 0.500, 0.500) and Rh at (0.069, 0.788, 0.500).

---

Entry 6:
Density functional theory data (PBE) for Pr6DyMg2 after structural relaxation.

The formation energy comes out at 0.49 eV/f.u. The calculation puts the energy relative to the lowest polymorph listed for this composition at 0.214 eV per formula unit. The crystal system is orthorhombic.

The space group is C222 (No. 21) and the conventional cell measures 6.236, 10.677 and 8.873 Å, with angles of 90.00, 90.00 and 90.00 degrees. Symmetry generates all atoms from Pr at (0.000, 0.174, 0.000), Pr at (0.243, 0.415, 0.664), Dy at (0.000, 0.500, 0.000) and Mg at (0.250, 0.250, 0.329).

---

Entry 7:
Density functional theory data (PBE) for Nb2P2Au after structural relaxation.

The formation energy comes out at -2.33 eV/f.u. The calculation puts the energy relative to the lowest polymorph listed for this composition at 0.000 eV per formula unit. The crystal system is tetragonal.

The space group is P4/mbm (No. 127) and the conventional cell measures 7.084, 7.084 and 3.192 Å, with angles of 90.00, 90.00 and 90.00 degrees. Symmetry generates all atoms from Nb at (0.146, 0.354, 0.000), P at (0.143, 0.643, 0.500) and Au at (0.000, 0.000, 0.500).

---

Entry 8:
Density functional theory data (PBE) for TcOsPtS2 after structural relaxation.

For the energy relative to the elements, uncorrected, the calculation gives 1.85 eV/atom. The crystal system is tetragonal.

The space group is P4/mmm (No. 123) and the conventional cell measures 4.529, 4.529 and 5.141 Å, with angles of 90.00, 90.00 and 90.00 degrees. Symmetry generates all atoms from Tc at (0.000, 0.000, 0.000), Os at (0.500, 0.500, 0.000), Pt at (0.000, 0.000, 0.500) and S at (0.000, 0.500, 0.500).

---

Entry 9:
Density functional theory data (PBE) for Ba8Na2Zn after structural relaxation.

The formation energy comes out at -0.05 eV/f.u. The calculation puts the energy relative to the lowest polymorph listed for this composition at 0.000 eV per formula unit. The crystal system is monoclinic.

The space group is C2/m (No. 12) and the conventional cell measures 21.623, 6.517 and 8.360 Å, with angles of 90.00, 97.64 and 90.00 degrees. Symmetry generates all atoms from Ba at (0.024, 0.000, 0.277), Ba at (0.085, 0.500, 0.889), Ba at (0.153, 0.500, 0.417), Ba at (0.213, 0.000, 0.130), Na at (0.165, 0.000, 0.667) and Zn at (0.000, 0.500, 0.500).

---

Entry 10:
Density functional theory data (PBE) for ScAg2Cl after structural relaxation.

For the energy relative to the elements, uncorrected, the calculation gives -0.41 eV/atom. The calculation puts the energy relative to the lowest polymorph listed for this composition at 0.612 eV per formula unit. The crystal system is monoclinic.

The space group is Cm (No. 8) and the conventional cell measures 9.526, 3.203 and 6.172 Å, with angles of 90.00, 114.03 and 90.00 degrees. Symmetry generates all atoms from Sc at (0.000, 0.000, 0.000), Ag at (0.199, 0.500, 0.413), Ag at (0.467, 0.000, 0.573) and Cl at (0.285, 0.000, 0.992).

---

Entry 11:
Density functional theory data (PBE) for YVSn2 after structural relaxation.

The formation energy comes out at -0.49 eV/f.u. The calculation puts the energy relative to the lowest polymorph listed for this composition at 0.000 eV per formula unit. The crystal system is cubic.

The space group is Fm-3m (No. 225) and the conventional cell measures 7.186, 7.186 and 7.186 Å, with angles of 90.00, 90.00 and 90.00 degrees. Symmetry generates all atoms from Y at (0.000, 0.000, 0.000), V at (0.000, 0.000, 0.500) and Sn at (0.250, 0.250, 0.250).

---

Entry 12:
Density functional theory data (PBE) for PmCo2H8 after structural relaxation.

The calculation puts the energy relative to the lowest polymorph listed for this composition at 0.983 eV per formula unit. The crystal system is tetragonal.

The space group is I4/mmm (No. 139) and the conventional cell measures 4.059, 4.059 and 9.950 Å, with angles of 90.00, 90.00 and 90.00 degrees. Symmetry generates all atoms from Pm at (0.000, 0.000, 0.000), Co at (0.000, 0.500, 0.250) and H at (0.219, 0.219, 0.337).

---

Entry 13:
Density functional theory data (PBE) for TbSmHgTe after structural relaxation.

For the energy relative to the elements, uncorrected, the calculation gives -0.89 eV/atom. The crystal system is trigonal.

The space group is R3m (No. 160, hexagonal axes) and the conventional cell measures 4.2184, 4.2184 and 23.3305 Å, with angles of 90.00, 90.00 and 120.00 degrees. Symmetry generates all atoms from Tb at (0.0000, 0.0000, 0.0000), Sm at (0.0000, 0.0000, 0.5003), Hg at (0.0000, 0.0000, 0.7486) and Te at (0.0000, 0.0000, 0.2518).

---

Entry 14:
Density functional theory data (PBE) for Pm4YTm3 after structural relaxation.

The formation energy comes out at 1.66 eV/f.u. The calculation puts the energy relative to the lowest polymorph listed for this composition at 1.476 eV per formula unit. The crystal system is monoclinic.

The space group is C2/m (No. 12) and the conventional cell measures 25.801, 5.666 and 3.634 Å, with angles of 90.00, 90.05 and 90.00 degrees. Symmetry generates all atoms from Pm at (0.103, 0.000, 0.001), Pm at (0.223, 0.000, 0.000), Y at (0.000, 0.000, 0.500), Tm at (0.000, 0.500, 0.000) and Tm at (0.151, 0.500, 0.500).

---

Entry 15:
Density functional theory data (PBE) for ErMnGe2Os after structural relaxation.

The formation energy comes out at -2.28 eV/f.u. The crystal system is tetragonal.

The space group is I-4m2 (No. 119) and the conventional cell measures 4.033, 4.033 and 10.651 Å, with angles of 90.00, 90.00 and 90.00 degrees. Symmetry generates all atoms from Er at (0.000, 0.000, 0.000), Mn at (0.000, 0.500, 0.750), Ge at (0.000, 0.000, 0.382) and Os at (0.000, 0.500, 0.250).

---

Entry 16:
Density functional theory data (PBE) for Sr2LiAcS4 after structural relaxation.

For the energy relative to the elements, uncorrected, the calculation gives -1.94 eV/atom. The crystal system is monoclinic.

The space group is P2/m (No. 10) and the conventional cell measures 7.213, 4.297 and 7.355 Å, with angles of 90.00, 108.85 and 90.00 degrees. Symmetry generates all atoms from Sr at (0.000, 0.000, 0.000), Sr at (0.500, 0.500, 0.000), Li at (0.000, 0.500, 0.500), Ac at (0.500, 0.000, 0.500), S at (0.247, 0.500, 0.257) and S at (0.251, 0.000, 0.748).

---

Entry 17:
Density functional theory data (PBE) for TaMo after structural relaxation.

The formation energy comes out at -0.15 eV/f.u. The crystal system is orthorhombic.

The space group is Cmme (No. 67) and the conventional cell measures 3.238, 4.644 and 9.021 Å, with angles of 90.00, 90.00 and 90.00 degrees. Symmetry generates all atoms from Ta at (0.000, 0.250, 0.132) and Mo at (0.000, 0.250, 0.619).

---

Entry 18:
Density functional theory data (PBE) for ICl2F2 after structural relaxation.

For the energy relative to the elements, uncorrected, the calculation gives 0.36 eV/atom. The calculation puts the energy relative to the lowest polymorph listed for this composition at 1.364 eV per formula unit. The crystal system is tetragonal.

The space group is I4/mmm (No. 139) and the conventional cell measures 3.963, 3.963 and 11.450 Å, with angles of 90.00, 90.00 and 90.00 degrees. Symmetry generates all atoms from I at (0.000, 0.000, 0.000), Cl at (0.000, 0.000, 0.389) and F at (0.000, 0.500, 0.250).

---

Entry 19:
Density functional theory data (PBE) for NaTe8Au2 after structural relaxation.

For the energy relative to the elements, uncorrected, the calculation gives -0.04 eV/atom. The crystal system is monoclinic.

The space group is C2/m (No. 12) and the conventional cell measures 8.204, 14.635 and 5.933 Å, with angles of 90.00, 101.79 and 90.00 degrees. Symmetry generates all atoms from Na at (0.000, 0.000, 0.000), Te at (0.000, 0.233, 0.000), Te at (0.161, 0.500, 0.216), Te at (0.243, 0.126, 0.397) and Au at (0.000, 0.244, 0.500).

---

Entry 20:
Density functional theory data (PBE) for Nd3CoSi3 after structural relaxation.

For the energy relative to the elements, uncorrected, the calculation gives -0.68 eV/atom. The crystal system is monoclinic.

The space group is C2/m (No. 12) and the conventional cell measures 11.036, 4.269 and 13.837 Å, with angles of 90.00, 111.47 and 90.00 degrees. Symmetry generates all atoms from Nd at (0.023, 0.000, 0.381), Nd at (0.101, 0.000, 0.919), Nd at (0.249, 0.000, 0.228), Co at (0.243, 0.500, 0.419), Si at (0.061, 0.500, 0.245), Si at (0.108, 0.500, 0.076) and Si at (0.155, 0.500, 0.546).

---

Entry 21:
Density functional theory data (PBE) for HoGa2Ru after structural relaxation.

The formation energy comes out at -1.95 eV/f.u. The crystal system is orthorhombic.

The space group is Pmmn (No. 59, origin choice 2) and the conventional cell measures 3.798, 7.709 and 5.148 Å, with angles of 90.00, 90.00 and 90.00 degrees. Symmetry generates all atoms from Ho at (0.250, 0.250, 0.135), Ga at (0.250, 0.025, 0.672) and Ru at (0.250, 0.750, 0.368).

---

Entry 22:
Density functional theory data (PBE) for TiCdW after structural relaxation.

The formation energy comes out at 0.25 eV/f.u. The calculation puts the energy relative to the lowest polymorph listed for this composition at 0.292 eV per formula unit. The crystal system is monoclinic.

The space group is P2_1/m (No. 11) and the conventional cell measures 2.884, 4.301 and 8.786 Å, with angles of 90.00, 98.21 and 90.00 degrees. Symmetry generates all atoms from Ti at (0.139, 0.250, 0.224), Cd at (0.283, 0.250, 0.591) and W at (0.323, 0.250, 0.931).

---

Entry 23:
Density functional theory data (PBE) for CaSm2Hg4 after structural relaxation.

The formation energy comes out at -2.50 eV/f.u. The crystal system is trigonal.

The space group is R-3m (No. 166, hexagonal axes) and the conventional cell measures 5.1923, 5.1923 and 26.0995 Å, with angles of 90.00, 90.00 and 120.00 degrees. Symmetry generates all atoms from Ca at (0.0000, 0.0000, 0.0000), Sm at (0.0000, 0.0000, 0.2463), Hg at (0.0000, 0.0000, 0.1263) and Hg at (0.0000, 0.0000, 0.3750).

---

Entry 24:
Density functional theory data (PBE) for Sr3PW after structural relaxation.

The formation energy comes out at 2.85 eV/f.u. The calculation puts the energy relative to the lowest polymorph listed for this composition at 0.000 eV per formula unit. The crystal system is cubic.

The space group is Pm-3m (No. 221) and the conventional cell measures 5.817, 5.817 and 5.817 Å, with angles of 90.00, 90.00 and 90.00 degrees. Symmetry generates all atoms from Sr at (0.000, 0.000, 0.500), P at (0.000, 0.000, 0.000) and W at (0.500, 0.500, 0.500).

---

Entry 25:
Density functional theory data (PBE) for TbEr2Rh after structural relaxation.

The formation energy comes out at -2.05 eV/f.u. The calculation puts the energy relative to the lowest polymorph listed for this composition at 0.126 eV per formula unit. The crystal system is orthorhombic.

The space group is Cmcm (No. 63) and the conventional cell measures 3.778, 11.904 and 9.330 Å, with angles of 90.00, 90.00 and 90.00 degrees. Symmetry generates all atoms from Tb at (0.000, 0.075, 0.250), Er at (0.000, 0.361, 0.067) and Rh at (0.000, 0.244, 0.750).